Entry 1:
A plane-wave DFT calculation with PBE was carried out for a relaxed structure of La6Sm2DyEr.

For the total energy, the calculation gives -92.61 eV per cell. Its total magnetization is 0.0 Bohr magnetons per cell. The value obtained for the density of states at the Fermi level is 1.723 states/eV/atom. As for the crystal system: monoclinic.

The space group is C2/m (No. 12) and the conventional cell measures 11.5317, 6.9979 and 9.2455 Å, with angles of 90.00, 107.72 and 90.00 degrees. The inequivalent atoms are La at (0.1281, 0.0000, 0.4215), La at (0.1964, 0.2684, 0.8023), Sm at (0.0731, 0.5000, 0.1720), Dy at (0.0000, 0.5000, 0.5000) and Er at (0.0000, 0.0000, 0.0000).

=====

Entry 2:
A plane-wave DFT calculation with PBE was carried out for a relaxed structure of ReIrW2.

For the total energy, the calculation gives -184.28 eV per cell. Its total magnetization is 3.6 Bohr magnetons per cell. The value obtained for the density of states at the Fermi level is 1.570 states/eV/atom. As for the crystal system: cubic.

The space group is F-43m (No. 216) and the conventional cell measures 6.3008, 6.3008 and 6.3008 Å, with angles of 90.00, 90.00 and 90.00 degrees. The inequivalent atoms are Re at (0.0000, 0.0000, 0.0000), Ir at (0.2500, 0.2500, 0.7500), W at (0.0000, 0.0000, 0.5000) and W at (0.2500, 0.2500, 0.2500).

=====

Entry 3:
A plane-wave DFT calculation with PBE was carried out for a relaxed structure of Li2U2CuSe6.

The value obtained for the formation energy (no corrections) is -973 meV per atom. Its total magnetization is 6.0 Bohr magnetons per cell. The value obtained for the density of states at the Fermi level is 1.082 states/eV/atom. As for the crystal system: monoclinic.

The space group is C2/m (No. 12) and the conventional cell measures 6.7276, 12.5260 and 6.7866 Å, with angles of 90.00, 108.03 and 90.00 degrees. The inequivalent atoms are Li at (0.0000, 0.1670, 0.0000), U at (0.0000, 0.3396, 0.5000), Cu at (0.0000, 0.0000, 0.5000), Se at (0.2253, 0.0000, 0.2730) and Se at (0.2468, 0.1797, 0.7482).

=====

Entry 4:
A plane-wave DFT calculation with PBE was carried out for a relaxed structure of NdSmInCu.

For the total energy, the calculation gives -69.55 eV per cell. Its total magnetization is 0.0 Bohr magnetons per cell. The value obtained for the density of states at the Fermi level is 1.145 states/eV/atom. As for the crystal system: cubic.

The space group is F-43m (No. 216) and the conventional cell measures 7.4981, 7.4981 and 7.4981 Å, with angles of 90.00, 90.00 and 90.00 degrees. The inequivalent atoms are Nd at (0.0000, 0.0000, 0.0000), Sm at (0.0000, 0.0000, 0.5000), In at (0.2500, 0.2500, 0.2500) and Cu at (0.2500, 0.2500, 0.7500).